! PBE SrH2Au2, relaxed; values from VASP
&SYSTEM
  ibrav = 0, nat = 10, ntyp = 3
/
ATOMIC_SPECIES
Sr 87.62 Sr.upf
H 1.01 H.upf
Au 196.97 Au.upf
ATOMIC_POSITIONS crystal
Sr 0.000 0.000 0.000
Sr 0.500 0.500 0.000
H 0.150 0.350 0.000
H 0.350 0.850 0.000
H 0.650 0.150 0.000
H 0.850 0.650 0.000
Au 0.149 0.351 0.500
Au 0.351 0.851 0.500
Au 0.649 0.149 0.500
Au 0.851 0.649 0.500
CELL_PARAMETERS angstrom
6.762 0.000 0.000
0.000 6.762 0.000
0.000 0.000 3.795
! ρ (Mg/m³): 9.3
! Space group: No. 127
! Raw total energy (eV per atom): -3.25